# 1
Below is a relaxed structure of Zr2FeSb, with properties calculated at the PBEsol level.

abc: 5.426 5.426 5.426
angles: 136.48 136.48 63.24
Element x y z (fractional)
Zr  0.000  0.000  0.000
Zr  0.750  0.250  0.500
Fe  0.500  0.500  0.000
Sb  0.250  0.750  0.500

Values from the calculation:
E_form (uncorrected) = -227 meV/atom

***

# 2
Below is a relaxed structure of BiPdBr2, with properties calculated at the PBEsol level.

abc: 6.312 6.312 6.312
angles: 104.67 104.67 119.57
Element x y z (fractional)
Bi  0.000  0.000  0.000
Bi  0.750  0.250  0.500
Pd  0.250  0.750  0.500
Pd  0.500  0.500  0.000
Br  0.172  0.125  0.547
Br  0.375  0.828  0.953
Br  0.578  0.625  0.453
Br  0.875  0.422  0.047

Values from the calculation:
E_form (uncorrected) = -12 meV/atom

***

# 3
Below is a relaxed structure of TlCuBr2, with properties calculated at the PBEsol level.

abc: 6.480 6.480 6.480
angles: 109.02 109.02 110.38
Element x y z (fractional)
Tl  0.000  0.000  0.000
Tl  0.750  0.250  0.500
Cu  0.250  0.750  0.500
Cu  0.500  0.500  0.000
Br  0.212  0.625  0.087
Br  0.375  0.462  0.587
Br  0.538  0.125  0.913
Br  0.875  0.788  0.413

Values from the calculation:
offset from the most stable computed form = 0.000 eV per atom
E_form (uncorrected) = -472 meV/atom

***

# 4
Below is a relaxed structure of Mg2TlCu, with properties calculated at the PBEsol level.

abc: 5.742 5.742 5.742
angles: 145.99 132.10 60.04
Element x y z (fractional)
Mg  0.000  0.000  0.000
Mg  0.712  0.212  0.500
Tl  0.281  0.781  0.500
Cu  0.501  0.501  0.000

Values from the calculation:
energy relative to the elements = 0.032 eV per atom

***

# 5
Below is a relaxed structure of HoZrSb, with properties calculated at the PBEsol level.

abc: 8.710 8.710 8.710
angles: 152.10 152.10 39.87
Element x y z (fractional)
Ho  0.177  0.177  0.000
Ho  0.823  0.823  0.000
Zr  0.000  0.500  0.500
Zr  0.500  0.000  0.500
Sb  0.366  0.366  0.000
Sb  0.634  0.634  0.000

Values from the calculation:
E_form (uncorrected) = -847 meV/atom

***

# 6
Below is a relaxed structure of LiCo3Ru, with properties calculated at the PBEsol level.

abc: 3.801 3.801 3.801
angles: 90.00 90.00 90.00
Element x y z (fractional)
Li  0.000  0.000  0.000
Co  0.000  0.000  0.500
Co  0.000  0.500  0.000
Co  0.500  0.000  0.000
Ru  0.500  0.500  0.500

Values from the calculation:
energy relative to the elements = 1.007 eV per atom